(1)
PmRh2: optimized geometry, PBE-GGA.

abc: 3.5392 3.5392 9.3661
angles: 90.00 90.00 90.00
Closest atoms and distances in Å follow each position.
Sites, in units of the cell vectors:
Pm  0.0000  0.0000  0.0000  10 Rh 2.85-3.10
Pm  0.5000  0.5000  0.5000  10 Rh 2.85-3.10
Rh  0.0000  0.0000  0.3038  4 Rh 2.70, 1 Pm 2.85
Rh  0.0000  0.0000  0.6962  4 Rh 2.70, 1 Pm 2.85
Rh  0.5000  0.5000  0.1962  4 Rh 2.70, 1 Pm 2.85
Rh  0.5000  0.5000  0.8038  4 Rh 2.70, 1 Pm 2.85

Properties
Electronic total energy   -6.725 eV/atom
Formation energy   -0.240 eV/atom
Relative energy among the computed polymorphs   437 meV per atom
M_tot   0.000 μB per atom


(2)
PmRh6: optimized geometry, PBE-GGA.

abc: 6.7438 6.7438 6.7438
angles: 90.00 90.00 90.00
Closest atoms and distances in Å follow each position.
Sites, in units of the cell vectors:
Pm  0.0000  0.0000  0.0000  24 Rh 3.77
Pm  0.5000  0.5000  0.5000  24 Rh 3.77
Rh  0.0000  0.2500  0.5000  4 Rh 2.38
Rh  0.0000  0.5000  0.2500  4 Rh 2.38
Rh  0.0000  0.5000  0.7500  4 Rh 2.38
Rh  0.0000  0.7500  0.5000  4 Rh 2.38
Rh  0.2500  0.0000  0.5000  4 Rh 2.38
Rh  0.2500  0.5000  0.0000  4 Rh 2.38
Rh  0.5000  0.0000  0.2500  4 Rh 2.38
Rh  0.5000  0.0000  0.7500  4 Rh 2.38
Rh  0.5000  0.2500  0.0000  4 Rh 2.38
Rh  0.5000  0.7500  0.0000  4 Rh 2.38
Rh  0.7500  0.0000  0.5000  4 Rh 2.38
Rh  0.7500  0.5000  0.0000  4 Rh 2.38

Properties
Electronic total energy   -6.562 eV/atom
Formation energy   0.418 eV/atom
Relative energy among the computed polymorphs   618 meV per atom
M_tot   0.000 μB per atom


(3)
Pm5Rh6: optimized geometry, PBE-GGA.

abc: 7.8986 7.8986 4.8765
angles: 96.62 96.62 53.51
Closest atoms and distances in Å follow each position.
Sites, in units of the cell vectors:
Pm  0.0000  0.0000  0.0000  8 Rh 2.86-2.92
Pm  0.1913  0.1913  0.6587  8 Rh 2.81-3.09
Pm  0.3859  0.3859  0.2480  4 Rh 2.80-2.89
Pm  0.6141  0.6141  0.7520  4 Rh 2.80-2.89
Pm  0.8087  0.8087  0.3413  8 Rh 2.81-3.09
Rh  0.0579  0.6042  0.8192  5 Pm 2.81-3.06, 2 Rh 3.01-3.08
Rh  0.2099  0.7901  0.5000  6 Pm 2.80-3.09, 3 Rh 2.99-3.01
Rh  0.3958  0.9421  0.1808  5 Pm 2.81-3.06, 2 Rh 3.01-3.08
Rh  0.6042  0.0579  0.8192  5 Pm 2.81-3.06, 2 Rh 3.01-3.08
Rh  0.7901  0.2099  0.5000  6 Pm 2.80-3.09, 3 Rh 2.99-3.01
Rh  0.9421  0.3958  0.1808  5 Pm 2.81-3.06, 2 Rh 3.01-3.08

Properties
Electronic total energy   -6.703 eV/atom
Formation energy   -0.534 eV/atom
M_tot   0.000 μB per atom


(4)
PmRh3: optimized geometry, PBE-GGA.

abc: 3.0839 4.6051 4.8899
angles: 90.00 90.00 90.00
Closest atoms and distances in Å follow each position.
Sites, in units of the cell vectors:
Pm  0.0000  0.0000  0.0000  10 Rh 2.86-3.01, 2 Pm 3.08
Rh  0.0000  0.5000  0.6049  8 Rh 2.74-3.05, 2 Pm 3.01
Rh  0.5000  0.0000  0.5048  8 Rh 2.81-3.08, 4 Pm 2.87-2.91
Rh  0.5000  0.5000  0.1423  6 Rh 2.74-3.05, 4 Pm 2.86

Properties
Electronic total energy   -6.915 eV/atom
Formation energy   -0.214 eV/atom
M_tot   0.000 μB per atom


(5)
Pm2Ru3Rh: optimized geometry, PBE-GGA.

abc: 5.5398 5.5398 5.5398
angles: 56.98 56.98 56.98
Closest atoms and distances in Å follow each position.
Sites, in units of the cell vectors:
Pm  0.1222  0.1222  0.1222  3 Rh 3.11, 9 Ru 3.14-3.30, 4 Pm 3.29-3.39
Pm  0.8778  0.8778  0.8778  3 Rh 3.11, 9 Ru 3.14-3.30, 4 Pm 3.29-3.39
Ru  0.0000  0.5000  0.5000  4 Ru 2.64, 2 Rh 2.77
Ru  0.5000  0.0000  0.5000  4 Ru 2.64, 2 Rh 2.77
Ru  0.5000  0.5000  0.0000  4 Ru 2.64, 2 Rh 2.77
Rh  0.5000  0.5000  0.5000  6 Ru 2.77

Properties
Electronic total energy   -7.760 eV/atom
Formation energy   -0.314 eV/atom
M_tot   0.000 μB per atom


(6)
Pm12RuRh6: optimized geometry, PBE-GGA.

abc: 8.3032 8.3032 8.3032
angles: 99.44 99.44 99.44
Closest atoms and distances in Å follow each position.
Sites, in units of the cell vectors:
Pm  0.0438  0.6779  0.9183  1 Ru 2.75, 2 Rh 2.87-2.90
Pm  0.0817  0.9562  0.3221  1 Ru 2.75, 2 Rh 2.87-2.90
Pm  0.1768  0.4158  0.5813  4 Rh 2.79-3.04
Pm  0.3221  0.0817  0.9562  1 Ru 2.75, 2 Rh 2.87-2.90
Pm  0.4158  0.5813  0.1768  4 Rh 2.79-3.04
Pm  0.4187  0.8232  0.5842  4 Rh 2.79-3.04
Pm  0.5813  0.1768  0.4158  4 Rh 2.79-3.04
Pm  0.5842  0.4187  0.8232  4 Rh 2.79-3.04
Pm  0.6779  0.9183  0.0438  1 Ru 2.75, 2 Rh 2.87-2.90
Pm  0.8232  0.5842  0.4187  4 Rh 2.79-3.04
Pm  0.9183  0.0438  0.6779  1 Ru 2.75, 2 Rh 2.87-2.90
Pm  0.9562  0.3221  0.0817  1 Ru 2.75, 2 Rh 2.87-2.90
Ru  0.0000  0.0000  0.0000  6 Pm 2.75
Rh  0.1350  0.6187  0.3123  6 Pm 2.79-3.04
Rh  0.3123  0.1350  0.6187  6 Pm 2.79-3.04
Rh  0.3813  0.6877  0.8650  6 Pm 2.79-3.04
Rh  0.6187  0.3123  0.1350  6 Pm 2.79-3.04
Rh  0.6877  0.8650  0.3813  6 Pm 2.79-3.04
Rh  0.8650  0.3813  0.6877  6 Pm 2.79-3.04

Properties
Electronic total energy   -6.301 eV/atom
Formation energy   -0.491 eV/atom
M_tot   0.000 μB per atom